This record from the Alexandria database describes a relaxed LiPbCl2 crystal. The functional is PBE.

The structure in POSCAR format:
```
LiPbCl2
1.0
-4.0913 -0.4341 -3.1341
-1.5841 -4.6723 -1.5525
-4.4383 -1.9549 1.7971
Cl Li Pb
2 1 1
Cartesian
0.0000 0.0000 0.0000
-2.5284 -1.7653 -0.7224
-5.0569 -3.5306 -1.4447
-7.5853 -5.2959 -2.1671
```

Properties
E ... -2.774 eV per atom
Polymorph energy (0 for the lowest one) ... 755.7 meV per atom
Spin magnetization ... 0.13 μB per formula unit



This record from the Alexandria database describes a relaxed LiPb2Cl crystal. The functional is PBE.

The structure in POSCAR format:
```
LiPb2Cl
1.0
-3.7388 0.2058 3.5887
-2.4036 -0.6531 -4.5493
3.2970 -3.8889 0.9514
Cl Li Pb
1 1 2
Cartesian
-3.0712 -0.2237 -0.4803
-1.7565 -1.9534 2.0299
0.0000 0.0000 0.0000
-1.0889 -2.3829 -2.0391
```

Properties
E ... -3.112 eV per atom
Polymorph energy (0 for the lowest one) ... 454.4 meV per atom
Spin magnetization ... 0.00 μB per formula unit



This record from the Alexandria database describes a relaxed LiPbCl2 crystal. The functional is PBE.

The structure in POSCAR format:
```
LiPbCl2
1.0
0.7821 2.7896 8.1418
0.2531 -0.7949 8.6015
3.5926 0.4761 7.8453
Pb Li Cl
1 1 2
Cartesian
0.0000 0.0000 0.0000
2.3139 1.2354 12.2943
4.1177 2.1984 21.8782
0.5101 0.2724 2.7105
```

Properties
E ... -3.522 eV per atom
Polymorph energy (0 for the lowest one) ... 7.3 meV per atom
Spin magnetization ... 0.00 μB per formula unit



This record from the Alexandria database describes a relaxed LiPb2Cl crystal. The functional is PBE.

The structure in POSCAR format:
```
LiPb2Cl
1.0
6.6213 0.0000 0.0000
0.0000 4.2850 0.0000
0.0000 0.0000 4.2850
Cl Li Pb
1 1 2
Cartesian
3.3107 2.1425 0.0000
3.3107 0.0000 2.1425
0.0000 0.0000 0.0000
0.0000 2.1425 2.1425
```

Properties
E ... -3.139 eV per atom
Polymorph energy (0 for the lowest one) ... 427.6 meV per atom
Spin magnetization ... 0.00 μB per formula unit



This record from the Alexandria database describes a relaxed LiPbCl2 crystal. The functional is PBE.

The structure in POSCAR format:
```
LiPbCl2
1.0
-1.7855 -2.1813 2.1672
2.4889 0.4048 2.4581
-5.3019 5.9765 1.6474
Cl Li Pb
2 1 1
Cartesian
1.9480 0.7150 2.3246
-0.8655 2.8806 2.1863
-1.5960 0.5047 2.1100
-3.0025 3.6954 4.1627
```

Properties
E ... -3.456 eV per atom
Polymorph energy (0 for the lowest one) ... 73.9 meV per atom
Spin magnetization ... 0.00 μB per formula unit



This record from the Alexandria database describes a relaxed LiPbCl2 crystal. The functional is PBE.

The structure in POSCAR format:
```
LiPbCl2
1.0
3.6569 0.0050 -0.0096
1.9084 3.1195 -0.0096
0.9672 0.5430 7.8939
Cl Li Pb
2 1 1
Cartesian
1.2101 0.6794 7.3745
3.0233 1.6973 4.4567
4.8994 2.7506 5.9060
1.6331 0.9169 1.9687
```

Properties
E ... -3.530 eV per atom
Polymorph energy (0 for the lowest one) ... 0.0 meV per atom
Spin magnetization ... 0.00 μB per formula unit



This record from the Alexandria database describes a relaxed LiPbCl2 crystal. The functional is PBE.

The structure in POSCAR format:
```
LiPbCl2
1.0
-2.4310 -0.0049 2.7383
-0.9118 -1.3276 -3.2885
2.5947 -7.4543 2.2901
Cl Li Pb
2 1 1
Cartesian
0.1276 -0.3667 0.1127
1.1697 -3.3604 1.0324
-1.0227 -2.5299 0.2974
0.2746 -6.2570 1.4425
```

Properties
E ... -3.475 eV per atom
Polymorph energy (0 for the lowest one) ... 54.9 meV per atom
Spin magnetization ... 0.00 μB per formula unit



This record from the Alexandria database describes a relaxed LiPbCl2 crystal. The functional is PBE.

The structure in POSCAR format:
```
LiPbCl2
1.0
-3.8606 -3.7203 -2.3453
1.0471 -1.1640 -5.6386
2.3152 -0.3250 5.3647
Cl Li Pb
2 1 1
Cartesian
-2.5714 -4.4640 -7.2969
-1.6489 -2.8624 -4.6790
-1.4761 -3.2437 -0.4863
0.9778 -1.9656 -2.1330
```

Properties
E ... -3.388 eV per atom
Polymorph energy (0 for the lowest one) ... 141.6 meV per atom
Spin magnetization ... 0.00 μB per formula unit



This record from the Alexandria database describes a relaxed LiPb2Cl crystal. The functional is PBE.

The structure in POSCAR format:
```
LiPb2Cl
1.0
-4.0968 1.4192 -8.6929
-2.7880 -1.8634 -9.1170
-5.9499 -1.3968 -7.5507
Cl Li Pb
1 1 2
Cartesian
-3.2087 -0.4603 -6.3401
-9.6261 -1.3808 -19.0204
-0.0101 -0.0014 -0.0199
-6.4073 -0.9191 -12.6604
```

Properties
E ... -3.070 eV per atom
Polymorph energy (0 for the lowest one) ... 496.6 meV per atom
Spin magnetization ... 0.00 μB per formula unit



This record from the Alexandria database describes a relaxed LiPbCl2 crystal. The functional is PBE.

The structure in POSCAR format:
```
LiPbCl2
1.0
-0.0855 -2.3485 -2.9718
2.7522 -1.8088 1.3503
-3.7614 -5.7405 4.6447
Cl Li Pb
2 1 1
Cartesian
-0.2945 -5.4976 4.3530
0.1744 -4.0080 0.7472
-0.6675 -3.6444 2.8992
-1.8210 -8.0718 4.0160
```

Properties
E ... -3.489 eV per atom
Polymorph energy (0 for the lowest one) ... 41.1 meV per atom
Spin magnetization ... 0.00 μB per formula unit



This record from the Alexandria database describes a relaxed LiPbCl2 crystal. The functional is PBE.

The structure in POSCAR format:
```
LiPbCl2
1.0
3.6979 0.0000 0.0000
0.0000 6.8617 0.0000
0.0000 0.0000 4.3747
Cl Li Pb
2 1 1
Cartesian
0.0000 0.0000 0.0000
1.8489 3.4308 0.0000
1.8489 0.0000 2.1873
0.0000 3.4308 2.1873
```

Properties
E ... -3.175 eV per atom
Polymorph energy (0 for the lowest one) ... 355.1 meV per atom
Spin magnetization ... 0.00 μB per formula unit



This record from the Alexandria database describes a relaxed LiPb2Cl crystal. The functional is PBE.

The structure in POSCAR format:
```
LiPb2Cl
1.0
4.5079 0.0107 0.0319
-2.2007 6.0596 0.3168
0.1065 1.4235 4.2508
Cl Li Pb
1 1 2
Cartesian
-1.0471 3.7415 2.2838
1.1536 3.0352 0.1744
0.0000 0.0000 0.0000
2.3072 0.7171 2.1414
```

Properties
E ... -3.143 eV per atom
Polymorph energy (0 for the lowest one) ... 424.0 meV per atom
Spin magnetization ... 0.00 μB per formula unit



This record from the Alexandria database describes a relaxed Li2PtPbCl8 crystal. The functional is PBE.

The structure in POSCAR format:
```
Li2PtPbCl8
1.0
6.4317 -0.5619 -0.1574
-0.6222 6.6449 1.3906
-0.1124 1.8400 8.0530
Li Pt Pb Cl
2 1 1 8
Cartesian
3.0475 3.1314 6.0002
2.6495 4.7916 3.2860
0.0000 0.0000 0.0000
-0.0562 0.9200 4.0265
0.1842 5.5390 3.3094
3.8942 4.7191 1.2469
5.3407 1.0338 1.1835
5.5129 2.3839 5.9768
1.8029 3.2039 8.0393
0.3563 6.8891 8.1027
3.3654 5.4479 5.4365
2.3317 2.4751 3.8497
```

Properties
E ... -3.416 eV per atom
Spin magnetization ... 0.00 μB per formula unit



This record from the Alexandria database describes a relaxed Li2PuPbCl8 crystal. The functional is PBE.

The structure in POSCAR format:
```
Li2PuPbCl8
1.0
6.5561 -0.6354 0.0366
-0.6408 6.8110 1.0351
0.0528 1.3976 8.4437
Li Pu Pb Cl
2 1 1 8
Cartesian
3.3382 3.0451 6.0954
2.6300 4.5282 3.4200
0.0000 0.0000 0.0000
0.0264 0.6988 4.2218
0.3781 5.5869 3.1826
3.7681 4.7817 1.3151
5.6215 1.1330 1.6916
5.5900 1.9863 6.3328
2.2001 2.7915 8.2004
0.3467 6.4402 7.8238
3.5583 5.3127 5.4420
2.4098 2.2605 4.0734
```

Properties
E ... -4.628 eV per atom
Spin magnetization ... 4.00 μB per formula unit



This record from the Alexandria database describes a relaxed LiPuPbCl6 crystal. The functional is PBE.

The structure in POSCAR format:
```
LiPuPbCl6
1.0
-6.8276 -0.4799 -0.4683
3.0451 -0.2786 6.1413
-0.9510 12.5154 1.0393
Li Pu Pb Cl
2 2 2 12
Cartesian
-0.4836 2.7831 4.1979
-4.2500 8.9738 2.5144
-3.7745 2.7160 1.9947
-0.9591 9.0409 4.7176
0.0000 0.0000 0.0000
-0.4755 6.2577 0.5197
-2.5173 1.1730 3.8579
0.8779 1.5579 2.3299
-3.0070 7.7461 0.5670
-5.6114 10.1990 4.3824
-1.6173 4.3287 2.4174
1.5591 4.4057 4.3961
-5.2563 10.5342 0.6714
-1.7265 4.0108 6.1453
-6.2926 7.3512 2.3162
0.5228 1.2227 6.0410
-3.1162 7.4282 4.2950
-2.2162 10.5839 2.8544
```

Properties
E ... -5.067 eV per atom
Spin magnetization ... 5.00 μB per formula unit



This record from the Alexandria database describes a relaxed Rb2Li2PbCl6 crystal. The functional is PBE.

The structure in POSCAR format:
```
Rb2Li2PbCl6
1.0
7.6468 0.0000 0.0000
3.8234 6.6223 0.0000
3.8234 2.2074 7.3504
Rb Li Pb Cl
2 2 1 6
Cartesian
11.4701 6.6223 4.5615
3.8234 2.2074 2.7890
7.6468 4.4149 5.4816
7.6468 4.4149 1.8688
0.0000 0.0000 0.0000
9.6013 5.5433 1.9429
5.6922 5.5433 1.9429
7.6468 2.1580 1.9429
7.6468 6.6717 5.4076
9.6013 3.2864 5.4076
5.6922 3.2864 5.4076
```

Properties
E ... -3.504 eV per atom
Spin magnetization ... 0.00 μB per formula unit



This record from the Alexandria database describes a relaxed Rb2Li3PbCl8 crystal. The functional is PBE.

The structure in POSCAR format:
```
Rb2Li3PbCl8
1.0
7.9446 0.0000 0.0000
3.9723 6.8802 0.0000
3.9723 2.2934 7.9612
Rb Li Pb Cl
2 3 1 8
Cartesian
3.9723 2.2934 5.0045
7.9446 4.5868 4.5172
3.9723 0.3862 0.4329
2.3206 3.2470 0.4329
5.6240 3.2470 0.4329
11.9169 6.8802 1.3929
3.9723 2.2934 1.9146
11.9169 6.8802 4.0134
6.0580 3.4976 7.0405
9.8312 3.4976 7.0405
7.9446 6.7653 7.0405
7.9446 2.6970 1.5662
6.3080 5.5317 1.5662
9.5812 5.5317 1.5662
```

Properties
E ... -3.376 eV per atom
Spin magnetization ... 0.00 μB per formula unit



This record from the Alexandria database describes a relaxed RbLi3Pb4Cl12 crystal. The functional is PBE.

The structure in POSCAR format:
```
RbLi3Pb4Cl12
1.0
9.1542 0.0000 0.0000
-3.0514 8.6307 0.0000
-3.0514 -4.3153 7.4744
Rb Li Pb Cl
1 3 4 12
Cartesian
0.0000 0.0000 0.0000
-3.0514 2.1577 3.7372
3.0514 4.3153 0.0000
3.0514 -2.1577 3.7372
4.5771 0.0000 0.0000
1.5257 2.1577 3.7372
-1.5257 4.3153 0.0000
-1.5257 -2.1577 3.7372
-0.0885 6.5356 1.1987
3.1399 -2.2202 6.2757
2.0727 5.0074 3.8456
5.1241 5.1420 1.2151
6.1913 -0.0094 2.4138
-0.9788 2.7966 2.4138
2.9629 2.0857 1.2151
-3.1399 4.3248 5.0606
0.9788 -0.6921 3.6288
-2.0727 -0.8266 6.2593
4.0302 1.5187 5.0606
0.0885 2.2297 6.2593
```

Properties
E ... -3.578 eV per atom
Spin magnetization ... 0.00 μB per formula unit



This record from the Alexandria database describes a relaxed Li2RhPbCl8 crystal. The functional is PBE.

The structure in POSCAR format:
```
Li2RhPbCl8
1.0
-4.6810 -3.8449 1.5715
-0.7520 -0.4886 -5.9776
4.9493 -6.0680 -0.1356
Li Rh Pb Cl
2 1 1 8
Cartesian
1.0723 -6.8216 -2.2968
-1.5560 -3.5799 -2.2448
0.0000 0.0000 0.0000
2.4746 -3.0340 -0.0678
-0.3035 -2.2989 -4.5291
1.1648 -9.0809 -3.4122
-3.0292 -4.6089 0.0675
-0.1802 -8.1025 -0.0126
-1.6485 -1.3205 -1.1294
2.5455 -5.7925 -4.6092
-1.1490 -5.9220 -3.1190
0.6654 -4.4794 -1.4226
```

Properties
E ... -3.506 eV per atom
Spin magnetization ... 0.00 μB per formula unit



This record from the Alexandria database describes a relaxed LiRhPbCl6 crystal. The functional is PBE.

The structure in POSCAR format:
```
LiRhPbCl6
1.0
6.2856 0.0000 0.0000
0.0000 6.2856 0.0000
0.0000 0.0000 11.6783
Li Rh Pb Cl
2 2 2 12
Cartesian
3.1428 3.1428 5.9498
0.0000 0.0000 0.1107
3.1428 3.1428 9.7125
0.0000 0.0000 3.8734
3.1428 3.1428 2.0037
0.0000 0.0000 7.8429
1.1982 5.0874 5.5430
5.0874 1.1982 5.5430
1.9446 1.9446 11.3822
4.3410 4.3410 11.3822
1.0932 5.1924 2.0690
5.1924 1.0932 2.0690
2.0496 2.0496 7.9082
4.2360 4.2360 7.9082
4.8250 1.4606 9.8310
1.4606 4.8250 9.8310
4.6035 4.6035 3.9919
1.6822 1.6822 3.9919
```

Properties
E ... -3.660 eV per atom
Spin magnetization ... 0.00 μB per formula unit



This record from the Alexandria database describes a relaxed Li2RuPbCl8 crystal. The functional is PBE.

The structure in POSCAR format:
```
Li2RuPbCl8
1.0
6.3222 -0.5709 -0.0402
-0.5996 6.6443 1.2082
-0.0814 1.6400 8.0301
Li Ru Pb Cl
2 1 1 8
Cartesian
3.1115 3.0579 5.9269
2.5297 4.6556 3.2711
0.0000 0.0000 0.0000
-0.0407 0.8200 4.0150
0.1632 5.4761 3.1494
3.7448 4.8443 1.1996
5.3536 1.0686 1.3294
5.4780 2.2374 6.0487
1.8964 2.8692 7.9984
0.2876 6.6449 7.8687
3.2736 5.3739 5.3903
2.3676 2.3396 3.8078
```

Properties
E ... -3.697 eV per atom
Spin magnetization ... 2.01 μB per formula unit



This record from the Alexandria database describes a relaxed LiPbSCl2 crystal. The functional is PBE.

The structure in POSCAR format:
```
LiPbSCl2
1.0
-1.3218 -3.5054 -3.1076
1.0496 -3.3684 3.3533
-4.9011 0.2582 1.7934
Pb S Li Cl
1 1 1 2
Cartesian
-2.5867 -3.3078 1.0195
-2.4505 0.1291 0.8967
0.0000 0.0000 0.0000
0.5248 -1.6842 1.6766
-0.6609 -1.7527 -1.5538
```

Properties
E ... -3.359 eV per atom
Polymorph energy (0 for the lowest one) ... 0.0 meV per atom
Spin magnetization ... 1.01 μB per formula unit



This record from the Alexandria database describes a relaxed Li2PbSCl crystal. The functional is PBE.

The structure in POSCAR format:
```
Li2PbSCl
1.0
-2.9289 -3.5989 0.1527
0.2652 0.0326 5.8568
-3.5960 2.9328 0.1465
Pb S Li Cl
1 1 2 1
Cartesian
0.1326 0.0163 2.9284
0.0000 0.0000 0.0000
-1.7980 1.4664 0.0732
-1.4645 -1.7995 0.0763
-3.1299 -0.3168 3.0780
```

Properties
E ... -3.504 eV per atom
Spin magnetization ... 0.00 μB per formula unit



This record from the Alexandria database describes a relaxed LiPbSCl2 crystal. The functional is PBE.

The structure in POSCAR format:
```
LiPbSCl2
1.0
-1.5276 -1.6872 5.0455
5.1038 -1.9466 0.8943
1.3772 4.4927 1.9193
Pb S Li Cl
1 1 1 2
Cartesian
0.0000 0.0000 0.0000
0.6886 2.2463 0.9596
2.4767 0.4295 3.9296
2.5519 -0.9733 0.4472
-0.7638 -0.8436 2.5228
```

Properties
E ... -3.309 eV per atom
Polymorph energy (0 for the lowest one) ... 50.1 meV per atom
Spin magnetization ... 0.00 μB per formula unit



For reference, formation energy without anion corrections by record: -445; -318; -1194; -345; -1127; -1201; -1146; -1059; -276; -1160; -846; -348; -1053; -1574; -1618; -1636; -1508; -1393; -1034; -988; -1065; -670; -802; -620 meV/atom.